(1)
LaNiNO2: relaxed, PBE with a Hubbard U.

Lattice parameters (Å, degrees): 3.9109 3.9109 3.7891 90.00 90.00 90.00
Closest atoms and distances in Å follow each position.
Positions (direct):
La1 0.0000 0.0000 0.0000  8 O 2.72, 4 N 2.77
Ni1 0.5000 0.5000 0.5000  2 N 1.89, 4 O 1.96
N1 0.5000 0.5000 0.0000  2 Ni 1.89
O1 0.0000 0.5000 0.5000  2 Ni 1.96
O2 0.5000 0.0000 0.5000  2 Ni 1.96

Computed properties:
The calculation puts the total magnetic moment at 0.247 μB per atom. Its crystal system is tetragonal. As for the calculated volume: 11.59 A^3/atom. The density comes out at 6.980 g/cm³. The raw total energy is -6.37 eV per atom.

=====

(2)
LaNiNO2: relaxed, PBE with a Hubbard U.

Lattice parameters (Å, degrees): 4.4616 4.4616 4.9640 90.00 90.00 90.00
Closest atoms and distances in Å follow each position.
Positions (direct):
La1 0.0000 0.0000 0.0000  4 O 2.23, 2 N 2.48
Ni1 0.5000 0.5000 0.5000  4 N 3.15, 8 O 3.34
N1 0.0000 0.0000 0.5000  2 La 2.48
O1 0.0000 0.5000 0.0000  2 La 2.23
O2 0.5000 0.0000 0.0000  2 La 2.23

Computed properties:
The calculation puts the total magnetic moment at 0.268 μB per atom. Its crystal system is tetragonal. As for the calculated volume: 19.76 A^3/atom. The density comes out at 4.094 g/cm³. The raw total energy is -5.09 eV per atom.

=====

(3)
LaNiN2O: relaxed, PBE with a Hubbard U.

Lattice parameters (Å, degrees): 3.8194 3.8194 4.0334 90.00 90.00 90.00
Closest atoms and distances in Å follow each position.
Positions (direct):
La1 0.0000 0.0000 0.0000  4 O 2.70, 8 N 2.78
Ni1 0.5000 0.5000 0.5000  4 N 1.91, 2 O 2.02
N1 0.0000 0.5000 0.5000  2 Ni 1.91
N2 0.5000 0.0000 0.5000  2 Ni 1.91
O1 0.5000 0.5000 0.0000  2 Ni 2.02

Computed properties:
The calculation puts the total magnetic moment at 0.114 μB per atom. Its crystal system is tetragonal. As for the calculated volume: 11.77 A^3/atom. The density comes out at 6.819 g/cm³. The raw total energy is -6.22 eV per atom.

=====

(4)
LaNiN2O: relaxed, PBE with a Hubbard U.

Lattice parameters (Å, degrees): 4.3676 4.3676 4.3781 90.00 90.00 90.00
Closest atoms and distances in Å follow each position.
Positions (direct):
La1 0.0000 0.0000 0.0000  4 N 2.18, 2 O 2.19
Ni1 0.5000 0.5000 0.5000  4 O 3.09, 8 N 3.09
N1 0.0000 0.5000 0.0000  2 La 2.18
N2 0.5000 0.0000 0.0000  2 La 2.18
O1 0.0000 0.0000 0.5000  2 La 2.19

Computed properties:
The calculation puts the total magnetic moment at 0.447 μB per atom. Its crystal system is tetragonal. As for the calculated volume: 16.70 A^3/atom. The density comes out at 4.804 g/cm³. The raw total energy is -4.84 eV per atom.